# 1
The following is a GGA-PBE calculation of a relaxed LiVCl2 crystal, from the Alexandria database.

Structure (CIF):
```
data_LiVCl2
_symmetry_space_group_name_H-M 'R -3 m'
_symmetry_Int_Tables_number 166
_symmetry_space_group_name_Hall '-R 3 2"'
_cell_length_a 3.6452
_cell_length_b 3.6452
_cell_length_c 24.9366
_cell_angle_alpha 90.00
_cell_angle_beta 90.00
_cell_angle_gamma 120.00
loop_
_atom_site_label
_atom_site_fract_x
_atom_site_fract_y
_atom_site_fract_z
Li1 0.0000 0.0000 0.0000
V1 0.0000 0.0000 0.5000
Cl1 0.0000 0.0000 0.1122
```

Output
formation energy without anion corrections: -0.707 eV per atom
total energy: -52.7 eV/cell
total magnetic moment: 0.7357 μB per atom
volume: 286.96 Å³ per cell

# 2
The following is a GGA-PBE calculation of a relaxed Ce2PrAg2Pb2 crystal, from the Alexandria database.

Structure (CIF):
```
data_Ce2PrAg2Pb2
_symmetry_space_group_name_H-M 'R -3 m'
_symmetry_Int_Tables_number 166
_symmetry_space_group_name_Hall '-R 3 2"'
_cell_length_a 4.8558
_cell_length_b 4.8558
_cell_length_c 27.5419
_cell_angle_alpha 90.00
_cell_angle_beta 90.00
_cell_angle_gamma 120.00
loop_
_atom_site_label
_atom_site_fract_x
_atom_site_fract_y
_atom_site_fract_z
Ce1 0.0000 0.0000 0.1445
Pr1 0.0000 0.0000 0.0000
Ag1 0.0000 0.0000 0.4328
Pb1 0.0000 0.0000 0.2678
```

Output
E_form: -254 meV/atom
total energy: -94.6 eV/cell
total magnetic moment: 0.3508 μB per atom
volume: 562.39 Å³ per cell

# 3
The following is a GGA-PBE calculation of a relaxed LiGaC crystal, from the Alexandria database.

Structure (CIF):
```
data_LiGaC
_symmetry_space_group_name_H-M 'P -6 m 2'
_symmetry_Int_Tables_number 187
_symmetry_space_group_name_Hall 'P -6 2'
_cell_length_a 3.3934
_cell_length_b 3.3934
_cell_length_c 3.9424
_cell_angle_alpha 90.00
_cell_angle_beta 90.00
_cell_angle_gamma 120.00
loop_
_atom_site_label
_atom_site_fract_x
_atom_site_fract_y
_atom_site_fract_z
Li1 0.0000 0.0000 0.0000
Ga1 0.3333 0.6667 0.5000
C1 0.6667 0.3333 0.5000
```

Output
E_form: 307 meV/atom
total energy: -13.2 eV/cell
total magnetic moment: 0.0000 μB per atom
volume: 39.32 Å³ per cell